DFT (PBE-GGA) results for ReTc2Sb after structural relaxation.

```
ReTc2Sb
1.0
3.069 0.000 0.000
0.000 3.069 0.000
0.000 0.000 6.813
Re Tc Sb
1 2 1
Cartesian
0.000 0.000 0.000 Re
1.535 1.535 1.630 Tc
1.535 1.535 5.183 Tc
0.000 0.000 3.406 Sb
```

Properties
- mass density (g/cm3) = 13.04
- calculated total energy (eV per atom) = -9.12
- SG = P4/mmm (123)
- calculated volume (Å³/atom) = 16.05
- formation energy without anion corrections (eV per atom) = 0.202

DFT (PBE-GGA) results for PrYTe2 after structural relaxation.

```
PrYTe2
1.0
2.162 1.249 7.718
-2.162 1.249 7.718
0.000 -2.497 7.718
Pr Y Te
1 1 2
Cartesian
0.000 0.000 0.000 Pr
0.000 0.000 19.115 Y
0.000 0.000 5.597 Te
0.000 0.000 9.672 Te
```

Properties
- mass density (g/cm3) = 6.44
- calculated total energy (eV per atom) = -5.79
- energy relative to the lowest polymorph listed for this composition (eV/atom) = 0.0000
- SG = R3m (160)
- calculated volume (Å³/atom) = 31.26
- formation energy without anion corrections (eV per atom) = -1.405

DFT (PBE-GGA) results for LiTb2Ni after structural relaxation.

```
LiTb2Ni
1.0
1.926 1.112 9.725
-1.926 1.112 9.725
0.000 -2.224 9.725
Li Tb Ni
1 2 1
Cartesian
0.000 0.000 0.000 Li
0.000 0.000 3.391 Tb
0.000 0.000 25.783 Tb
0.000 0.000 14.587 Ni
```

Properties
- mass density (g/cm3) = 5.09
- calculated total energy (eV per atom) = -4.20
- SG = R-3m (166)
- calculated volume (Å³/atom) = 31.25

DFT (PBE-GGA) results for ReRu2W after structural relaxation.

```
ReRu2W
1.0
-2.808 2.808 5.561
2.808 -2.808 5.561
2.808 2.808 -5.561
Re Ru W
2 4 2
Cartesian
0.000 0.000 0.000 Re
0.000 2.808 2.780 Re
4.212 1.371 -1.390 Ru
1.371 1.404 1.390 Ru
-1.404 1.437 4.170 Ru
1.437 1.404 6.951 Ru
2.808 0.000 2.780 W
0.000 0.000 5.561 W
```

Properties
- mass density (g/cm3) = 10.84
- calculated total energy (eV per atom) = -9.55
- energy relative to the lowest polymorph listed for this composition (eV/atom) = 1.4252
- SG = I-42d (122)
- calculated volume (Å³/atom) = 21.92

DFT (PBE-GGA) results for TcPbSe2 after structural relaxation.

```
TcPbSe2
1.0
1.709 0.987 9.062
-1.709 0.987 9.062
0.000 -1.973 9.062
Tc Pb Se
1 1 2
Cartesian
0.000 0.000 0.000 Tc
0.000 0.000 13.593 Pb
0.000 0.000 7.446 Se
0.000 0.000 19.741 Se
```

Properties
- mass density (g/cm3) = 8.39
- calculated total energy (eV per atom) = -5.41
- energy relative to the lowest polymorph listed for this composition (eV/atom) = 0.0155
- SG = R-3m (166)
- calculated volume (Å³/atom) = 22.92
- formation energy without anion corrections (eV per atom) = -0.144

DFT (PBE-GGA) results for Rb2U2Te5 after structural relaxation.

```
Rb2U2Te5
1.0
8.999 -4.232 0.000
8.999 4.232 0.000
0.000 0.000 8.472
Rb U Te
4 4 10
Cartesian
3.704 0.000 0.000 Rb
5.295 0.000 4.236 Rb
12.703 0.000 4.236 Rb
14.294 0.000 0.000 Rb
8.999 2.927 5.543 U
8.999 1.305 1.307 U
8.999 -1.305 7.165 U
8.999 -2.927 2.929 U
0.000 0.000 0.000 Te
7.008 2.989 2.993 Te
7.008 1.243 7.229 Te
10.990 2.989 2.993 Te
10.990 1.243 7.229 Te
8.999 0.000 4.236 Te
7.008 -1.243 1.243 Te
7.008 -2.989 5.479 Te
10.990 -1.243 1.243 Te
10.990 -2.989 5.479 Te
```

Properties
- mass density (g/cm3) = 6.61
- calculated total energy (eV per atom) = -5.30
- SG = Cmce (64)
- calculated volume (Å³/atom) = 35.85
- formation energy without anion corrections (eV per atom) = -0.833

DFT (PBE-GGA) results for LiCa2Si after structural relaxation.

```
LiCa2Si
1.0
6.449 0.000 0.000
0.000 4.639 0.000
-2.744 0.000 6.920
Li Ca Si
2 4 2
Cartesian
0.086 1.160 1.307 Li
3.618 3.479 5.613 Li
-0.056 3.479 3.955 Ca
1.985 3.479 0.713 Ca
1.720 1.160 6.207 Ca
3.761 1.160 2.965 Ca
-1.352 1.160 5.708 Si
5.057 3.479 1.212 Si
```

Properties
- mass density (g/cm3) = 1.85
- calculated total energy (eV per atom) = -3.16
- SG = P2_1/m (11)
- calculated volume (Å³/atom) = 25.88
- formation energy without anion corrections (eV per atom) = -0.323

DFT (PBE-GGA) results for Al2CdTe after structural relaxation.

```
Al2CdTe
1.0
3.715 0.000 0.000
0.000 3.715 0.000
0.000 0.000 6.640
Al Cd Te
2 1 1
Cartesian
0.000 0.000 0.000 Al
1.857 1.857 1.569 Al
0.000 0.000 2.981 Cd
1.857 1.857 5.331 Te
```

Properties
- mass density (g/cm3) = 5.33
- calculated total energy (eV per atom) = -2.74
- energy relative to the lowest polymorph listed for this composition (eV/atom) = 0.1159
- SG = P4mm (99)
- calculated volume (Å³/atom) = 22.91
- formation energy without anion corrections (eV per atom) = 0.144